1.
First-principles (GGA-PBE) data for LaScNiPd after structural relaxation, as listed in Alexandria.

a = 4.893 Å, b = 4.893 Å, c = 4.893 Å
α = 60.00°, β = 60.00°, γ = 60.00°
Fractional positions:
1 Ni 0.250 0.250 0.250
2 La 0.500 0.500 0.500
3 Sc 0.000 0.000 0.000
4 Pd 0.750 0.750 0.750

For the formation energy, the calculation gives -185 kJ/mol of formula units.

---

2.
First-principles (GGA-PBE) data for LaNi2PdSe after structural relaxation, as listed in Alexandria.

a = 4.382 Å, b = 5.702 Å, c = 4.382 Å
α = 90.00°, β = 90.00°, γ = 90.00°
Each line ends with the local moment (μB).
Fractional positions:
1 Pd 0.500 0.500 0.500  0.05
2 Ni 0.000 0.000 0.500  0.24
3 Ni 0.500 0.000 0.000  0.23
4 Se 0.000 0.000 0.000  0.01
5 La 0.000 0.500 0.000  0.01

The raw formation energy comes out at -0.084 eV/atom.

---

3.
First-principles (GGA-PBE) data for LaSi2NiPd after structural relaxation, as listed in Alexandria.

a = 4.574 Å, b = 5.616 Å, c = 4.574 Å
α = 90.00°, β = 90.00°, γ = 90.00°
Fractional positions:
1 Pd 0.000 0.000 0.000
2 Si 0.000 0.000 0.500
3 La 0.000 0.500 0.000
4 Ni 0.500 0.500 0.500
5 Si 0.500 0.000 0.000

The raw formation energy comes out at 0.315 eV/atom. As for the excess energy over the best structure of this formula in the dataset: 5.76 eV/f.u.

---

4.
First-principles (GGA-PBE) data for La2SiNiPd6 after structural relaxation, as listed in Alexandria.

a = 5.491 Å, b = 8.257 Å, c = 6.468 Å
α = 52.67°, β = 64.88°, γ = 90.00°
Fractional positions:
1 Pd 0.750 0.608 0.499
2 Pd 0.761 0.745 0.985
3 La 0.734 0.203 0.532
4 Pd 0.239 0.255 0.015
5 Ni 0.000 0.000 0.000
6 Pd 0.250 0.392 0.501
7 Pd 0.254 0.745 0.985
8 Pd 0.746 0.255 0.015
9 La 0.266 0.797 0.468
10 Si 0.500 0.500 0.000

The raw formation energy comes out at -0.654 eV/atom.

---

5.
First-principles (GGA-PBE) data for LaSi2NiPd after structural relaxation, as listed in Alexandria.

a = 4.218 Å, b = 4.218 Å, c = 5.755 Å
α = 111.50°, β = 111.50°, γ = 90.00°
Fractional positions:
1 Pd 0.750 0.250 0.500
2 Ni 0.250 0.750 0.500
3 La 0.000 0.000 0.000
4 Si 0.375 0.375 0.750
5 Si 0.625 0.625 0.250

The raw formation energy comes out at -0.837 eV/atom. As for the excess energy over the best structure of this formula in the dataset: 0.00 eV/f.u.

---

6.
First-principles (GGA-PBE) data for La2NiSn4Pd3 after structural relaxation, as listed in Alexandria.

a = 4.587 Å, b = 4.587 Å, c = 10.797 Å
α = 90.00°, β = 90.00°, γ = 90.00°
Fractional positions:
1 Pd 0.000 0.500 0.135
2 Sn 0.500 0.500 0.000
3 Ni 0.500 0.500 0.500
4 Pd 0.500 0.000 0.865
5 Sn 0.000 0.500 0.379
6 Sn 0.000 0.000 0.000
7 La 0.500 0.000 0.263
8 La 0.000 0.500 0.737
9 Sn 0.500 0.000 0.621
10 Pd 0.000 0.000 0.500

For the formation energy, the calculation gives -718 kJ/mol of formula units.

---

7.
First-principles (GGA-PBE) data for SrLaNiPd after structural relaxation, as listed in Alexandria.

a = 5.153 Å, b = 5.153 Å, c = 5.153 Å
α = 60.00°, β = 60.00°, γ = 60.00°
Fractional positions:
1 Sr 0.000 0.000 0.000
2 Pd 0.750 0.750 0.750
3 La 0.500 0.500 0.500
4 Ni 0.250 0.250 0.250

For the formation energy, the calculation gives -134 kJ/mol of formula units.

---

8.
First-principles (GGA-PBE) data for LaTmNiPd after structural relaxation, as listed in Alexandria.

a = 4.983 Å, b = 4.983 Å, c = 4.983 Å
α = 60.00°, β = 60.00°, γ = 60.00°
Fractional positions:
1 Tm 0.500 0.500 0.500
2 Pd 0.750 0.750 0.750
3 La 0.000 0.000 0.000
4 Ni 0.250 0.250 0.250

For the formation energy, the calculation gives -210 kJ/mol of formula units.

---

| no. | density of states at the Fermi level (states/eV per cell) | total DFT energy (no corrections) (eV/atom) |
| --- | --- | --- |
| 1 | 5.0 | -6.0365 |
| 2 | 4.9 | -5.1172 |
| 3 | 5.3 | -5.0345 |
| 4 | 4.3 | -5.8756 |
| 5 | 3.0 | -6.1861 |
| 6 | 6.1 | -5.4671 |
| 7 | 2.0 | -4.7423 |
| 8 | 3.7 | -5.6386 |